This record from the Alexandria database describes LiErNiPb after structural relaxation. The functional is PBE.

Cell: 6.616 6.616 6.616 Å, 90.00 90.00 90.00°
Sites, in units of the cell vectors:
Li  0.000  0.000  0.000
Li  0.000  0.500  0.500
Li  0.500  0.000  0.500
Li  0.500  0.500  0.000
Er  0.250  0.250  0.250
Er  0.250  0.750  0.750
Er  0.750  0.250  0.750
Er  0.750  0.750  0.250
Ni  0.000  0.000  0.500
Ni  0.000  0.500  0.000
Ni  0.500  0.000  0.000
Ni  0.500  0.500  0.500
Pb  0.250  0.250  0.750
Pb  0.250  0.750  0.250
Pb  0.750  0.250  0.250
Pb  0.750  0.750  0.750

Results
Space group: F-43m, No. 216
Formation enthalpy at 0 K in eV/atom: -0.3982

***

This record from the Alexandria database describes KAgH2 after structural relaxation. The functional is PBE.

Cell: 6.353 6.353 6.353 Å, 90.00 90.00 90.00°
Sites, in units of the cell vectors:
K  0.000  0.000  0.000
K  0.000  0.500  0.500
K  0.500  0.000  0.500
K  0.500  0.500  0.000
Ag  0.000  0.000  0.500
Ag  0.000  0.500  0.000
Ag  0.500  0.000  0.000
Ag  0.500  0.500  0.500
H  0.250  0.250  0.250
H  0.250  0.250  0.750
H  0.250  0.750  0.250
H  0.250  0.750  0.750
H  0.750  0.250  0.250
H  0.750  0.250  0.750
H  0.750  0.750  0.250
H  0.750  0.750  0.750

Results
Distance to the lowest polymorph of the same formula in meV per atom: 621
Space group: Fm-3m, No. 225

***

This record from the Alexandria database describes AcNd4SmEr2 after structural relaxation. The functional is PBE.

Cell: 11.594 5.193 10.420 Å, 90.00 116.76 90.00°
Sites, in units of the cell vectors:
Ac  0.000  0.000  0.000
Ac  0.500  0.500  0.000
Nd  0.247  0.000  0.870
Nd  0.249  0.500  0.622
Nd  0.251  0.000  0.378
Nd  0.253  0.500  0.130
Nd  0.747  0.500  0.870
Nd  0.749  0.000  0.622
Nd  0.751  0.500  0.378
Nd  0.753  0.000  0.130
Sm  0.000  0.000  0.500
Sm  0.500  0.500  0.500
Er  0.001  0.500  0.744
Er  0.499  0.000  0.256
Er  0.501  0.000  0.744
Er  0.999  0.500  0.256

Results
Space group: C2/m, No. 12
Formation enthalpy at 0 K in eV/atom: 0.0337

***

This record from the Alexandria database describes YNiS2 after structural relaxation. The functional is PBE.

Cell: 5.389 5.389 12.215 Å, 90.00 90.00 90.00°
Sites, in units of the cell vectors:
Y  0.000  0.000  0.000
Y  0.000  0.500  0.250
Y  0.500  0.000  0.750
Y  0.500  0.500  0.500
Ni  0.000  0.000  0.500
Ni  0.000  0.500  0.750
Ni  0.500  0.000  0.250
Ni  0.500  0.500  0.000
S  0.194  0.250  0.625
S  0.250  0.694  0.875
S  0.250  0.806  0.375
S  0.306  0.250  0.125
S  0.694  0.750  0.125
S  0.750  0.194  0.375
S  0.750  0.306  0.875
S  0.806  0.750  0.625

Results
Formation energy without anion corrections in eV per atom: -1.0817
Space group: I-42d, No. 122

***

This record from the Alexandria database describes Ho3Th2Sc2 after structural relaxation. The functional is PBE.

Cell: 14.887 3.503 8.550 Å, 90.00 112.21 90.00°
Sites, in units of the cell vectors:
Ho  0.000  0.000  0.000
Ho  0.139  0.000  0.432
Ho  0.361  0.500  0.568
Ho  0.500  0.500  0.000
Ho  0.639  0.500  0.432
Ho  0.861  0.000  0.568
Th  0.217  0.500  0.145
Th  0.283  0.000  0.855
Th  0.717  0.000  0.145
Th  0.783  0.500  0.855
Sc  0.075  0.500  0.721
Sc  0.425  0.000  0.279
Sc  0.575  0.000  0.721
Sc  0.925  0.500  0.279

Results
Space group: C2/m, No. 12
Formation enthalpy at 0 K in eV/atom: 0.0403

***

This record from the Alexandria database describes Ba3Ta2N5Cl2 after structural relaxation. The functional is PBE.

Cell: 13.667 13.667 13.667 Å, 162.63 162.63 24.65°
Sites, in units of the cell vectors:
Ba  0.000  0.000  0.000
Ba  0.161  0.161  0.000
Ba  0.839  0.839  0.000
Ta  0.427  0.427  0.000
Ta  0.573  0.573  0.000
N  0.088  0.588  0.500
N  0.412  0.912  0.500
N  0.500  0.500  0.000
N  0.588  0.088  0.500
N  0.912  0.412  0.500
Cl  0.294  0.294  0.000
Cl  0.706  0.706  0.000

Results
Formation energy without anion corrections in eV per atom: -1.3699
Space group: I4/mmm, No. 139

***

This record from the Alexandria database describes YZnHg6 after structural relaxation. The functional is PBE.

Cell: 6.349 6.349 6.349 Å, 108.83 108.83 108.83°
Sites, in units of the cell vectors:
Y  0.000  0.000  0.000
Zn  0.500  0.500  0.500
Hg  0.247  0.247  0.723
Hg  0.247  0.723  0.247
Hg  0.277  0.753  0.753
Hg  0.723  0.247  0.247
Hg  0.753  0.277  0.753
Hg  0.753  0.753  0.277

Results
Space group: R-3m, No. 166
Formation enthalpy at 0 K in eV/atom: -0.0589

***

This record from the Alexandria database describes ZrSi after structural relaxation. The functional is PBE.

Cell: 3.016 3.016 3.922 Å, 90.00 90.00 90.00°
Sites, in units of the cell vectors:
Zr  0.000  0.000  0.000
Si  0.500  0.500  0.500

Results
Formation energy without anion corrections in eV per atom: -0.5038
Space group: P4/mmm, No. 123